Entry 1:
Ce2InIr | PBE-GGA | relaxed

Geometry as POSCAR:
```
Ce2InIr
1.0
3.994 0.000 0.000
1.997 3.459 0.000
1.997 1.153 8.271
Ce In Ir
2 1 1
Direct
0.269 0.269 0.194
0.065 0.065 0.806
0.499 0.499 0.503
0.668 0.668 0.997
```

Values from the calculation:
Fermi-level density of states: 2.67 states/eV/atom
SG: R3m
Crystal system: trigonal
Formation enthalpy at 0 K: -0.45 eV/atom
Total magnetization: 1.23 Bohr magnetons per cell


Entry 2:
Ce6In3Ir | PBE-GGA | relaxed

Geometry as POSCAR:
```
Ce6In3Ir
1.0
-3.758 3.552 -2.188
-1.829 -5.870 -6.390
-8.105 -3.957 5.955
Ce In Ir
12 6 2
Direct
0.817 0.925 0.232
0.683 0.425 0.268
0.996 0.321 0.071
0.034 0.360 0.446
0.004 0.679 0.929
0.534 0.140 0.946
0.183 0.075 0.768
0.466 0.860 0.054
0.317 0.575 0.732
0.496 0.179 0.571
0.966 0.640 0.554
0.504 0.821 0.429
0.172 0.622 0.238
0.828 0.378 0.762
0.000 0.000 0.500
0.500 0.500 0.000
0.672 0.878 0.738
0.328 0.122 0.262
0.000 0.000 0.000
0.500 0.500 0.500
```

Values from the calculation:
Fermi-level density of states: 2.56 states/eV/atom
SG: P2_1/c
Crystal system: monoclinic
Formation enthalpy at 0 K: -0.30 eV/atom
Total magnetization: 8.25 Bohr magnetons per cell


Entry 3:
Ce5In2Ir2 | PBE-GGA | relaxed

Geometry as POSCAR:
```
Ce5In2Ir2
1.0
8.823 0.000 0.000
0.000 6.764 0.000
-4.411 -3.382 8.116
Ce Ir In
10 4 4
Direct
0.449 0.283 0.684
0.042 0.799 0.500
0.958 0.299 0.500
0.830 0.211 0.088
0.758 0.711 0.088
0.170 0.123 0.912
0.242 0.623 0.912
0.735 0.783 0.684
0.265 0.099 0.316
0.551 0.599 0.316
0.757 0.006 0.500
0.000 0.868 0.000
0.243 0.506 0.500
0.500 0.368 0.000
0.450 0.876 0.804
0.550 0.072 0.196
0.854 0.376 0.804
0.146 0.572 0.196
```

Values from the calculation:
Fermi-level density of states: 2.52 states/eV/atom
SG: Ima2
Crystal system: orthorhombic
Formation enthalpy at 0 K: -0.35 eV/atom
Total magnetization: 6.53 Bohr magnetons per cell